one | Here is TaFe4Si after structural relaxation from Alexandria. Energies are from GGA-PBE.

## Properties
N(E_F) ... 5.33 states/eV/f.u.
Total magnetic moment ... 5.6 μB per formula unit
Crystal system ... trigonal

Cell and atoms, written as CIF:
```
data_TaFe4Si
_cell_length_a 4.790
_cell_length_b 4.790
_cell_length_c 7.501
_cell_angle_alpha 90.00
_cell_angle_beta 90.00
_cell_angle_gamma 120.00
_symmetry_space_group_name_H-M 'P 1'
_symmetry_Int_Tables_number 1
_symmetry_space_group_name_Hall 'P 1'
loop_
_atom_site_label
_atom_site_type_symbol
_atom_site_fract_x
_atom_site_fract_y
_atom_site_fract_z
_atom_site_occupancy
Fe1 Fe 0.659 0.830 0.744 1
Ta1 Ta 0.667 0.333 0.920 1
Si1 Si 0.667 0.333 0.554 1
Fe2 Fe 0.170 0.341 0.744 1
Fe3 Fe 0.170 0.830 0.744 1
Si2 Si 0.333 0.667 0.446 1
Ta2 Ta 0.333 0.667 0.080 1
Fe4 Fe 0.341 0.170 0.256 1
Fe5 Fe 0.000 0.000 0.500 1
Fe6 Fe 0.000 0.000 0.000 1
Fe7 Fe 0.830 0.659 0.256 1
Fe8 Fe 0.830 0.170 0.256 1
```

=====

two | Here is TaFe4Si after structural relaxation from Alexandria. Energies are from GGA-PBE.

## Properties
N(E_F) ... 3.87 states/eV/f.u.
Total magnetic moment ... 6.6 μB per formula unit
Crystal system ... cubic

Cell and atoms, written as CIF:
```
data_TaFe4Si
_cell_length_a 4.728
_cell_length_b 4.728
_cell_length_c 4.728
_cell_angle_alpha 60.00
_cell_angle_beta 60.00
_cell_angle_gamma 60.00
_symmetry_space_group_name_H-M 'P 1'
_symmetry_Int_Tables_number 1
_symmetry_space_group_name_Hall 'P 1'
loop_
_atom_site_label
_atom_site_type_symbol
_atom_site_fract_x
_atom_site_fract_y
_atom_site_fract_z
_atom_site_occupancy
Fe1 Fe 0.375 0.375 0.875 1
Fe2 Fe 0.875 0.375 0.375 1
Ta1 Ta 0.000 0.000 0.000 1
Si1 Si 0.750 0.750 0.750 1
Fe3 Fe 0.375 0.375 0.375 1
Fe4 Fe 0.375 0.875 0.375 1
```

=====

The data favor two; the next most stable structure lies 3.2 kJ/mol of atoms above it.

=====

one | Here is TbFe3Si3 after structural relaxation from Alexandria. Energies are from GGA-PBE.

## Properties
N(E_F) ... 8.11 states/eV/f.u.
Total magnetic moment ... 4.4 μB per formula unit
Crystal system ... cubic

Cell and atoms, written as CIF:
```
data_TbFe3Si3
_cell_length_a 6.255
_cell_length_b 6.255
_cell_length_c 6.255
_cell_angle_alpha 90.00
_cell_angle_beta 90.00
_cell_angle_gamma 90.00
_symmetry_space_group_name_H-M 'P 1'
_symmetry_Int_Tables_number 1
_symmetry_space_group_name_Hall 'P 1'
loop_
_atom_site_label
_atom_site_type_symbol
_atom_site_fract_x
_atom_site_fract_y
_atom_site_fract_z
_atom_site_occupancy
Fe1 Fe 0.000 0.500 0.250 1
Si1 Si 0.000 0.750 0.500 1
Si2 Si 0.500 0.000 0.250 1
Tb1 Tb 0.000 0.000 0.000 1
Fe2 Fe 0.000 0.500 0.750 1
Fe3 Fe 0.500 0.250 0.000 1
Fe4 Fe 0.250 0.000 0.500 1
Tb2 Tb 0.500 0.500 0.500 1
Fe5 Fe 0.750 0.000 0.500 1
Fe6 Fe 0.500 0.750 0.000 1
Si3 Si 0.000 0.250 0.500 1
Si4 Si 0.250 0.500 0.000 1
Si5 Si 0.500 0.000 0.750 1
Si6 Si 0.750 0.500 0.000 1
```

=====

two | Here is TbFe3Si3 after structural relaxation from Alexandria. Energies are from GGA-PBE.

## Properties
N(E_F) ... 5.71 states/eV/f.u.
Total magnetic moment ... 5.6 μB per formula unit
Crystal system ... trigonal

Cell and atoms, written as CIF:
```
data_TbFe3Si3
_cell_length_a 6.084
_cell_length_b 6.084
_cell_length_c 7.695
_cell_angle_alpha 66.71
_cell_angle_beta 66.71
_cell_angle_gamma 60.00
_symmetry_space_group_name_H-M 'P 1'
_symmetry_Int_Tables_number 1
_symmetry_space_group_name_Hall 'P 1'
loop_
_atom_site_label
_atom_site_type_symbol
_atom_site_fract_x
_atom_site_fract_y
_atom_site_fract_z
_atom_site_occupancy
Si1 Si 0.165 0.689 0.260 1
Si2 Si 0.689 0.886 0.260 1
Fe1 Fe 0.750 0.082 0.608 1
Fe2 Fe 0.250 0.918 0.392 1
Fe3 Fe 0.440 0.250 0.392 1
Tb1 Tb 0.331 0.331 0.006 1
Si3 Si 0.311 0.114 0.740 1
Fe4 Fe 0.560 0.750 0.608 1
Tb2 Tb 0.669 0.669 0.994 1
Fe5 Fe 0.082 0.560 0.608 1
Si4 Si 0.835 0.311 0.740 1
Si5 Si 0.886 0.165 0.260 1
Fe6 Fe 0.918 0.440 0.392 1
Si6 Si 0.114 0.835 0.740 1
```

=====

The data favor two; the next most stable structure lies 26.2 kJ/mol of atoms above it.

=====

one | Here is FeSiTc after structural relaxation from Alexandria. Energies are from GGA-PBE.

## Properties
N(E_F) ... 2.14 states/eV/f.u.
Total magnetic moment ... 2.4 μB per formula unit
Crystal system ... monoclinic

Cell and atoms, written as CIF:
```
data_FeSiTc
_cell_length_a 3.000
_cell_length_b 6.505
_cell_length_c 11.743
_cell_angle_alpha 93.00
_cell_angle_beta 90.00
_cell_angle_gamma 90.00
_symmetry_space_group_name_H-M 'P 1'
_symmetry_Int_Tables_number 1
_symmetry_space_group_name_Hall 'P 1'
loop_
_atom_site_label
_atom_site_type_symbol
_atom_site_fract_x
_atom_site_fract_y
_atom_site_fract_z
_atom_site_occupancy
Si1 Si 0.250 0.727 0.923 1
Fe1 Fe 0.250 0.370 0.224 1
Fe2 Fe 0.750 0.126 0.554 1
Fe3 Fe 0.250 0.874 0.446 1
Tc1 Tc 0.750 0.040 0.271 1
Fe4 Fe 0.750 0.003 0.915 1
Tc2 Tc 0.250 0.463 0.602 1
Tc3 Tc 0.750 0.654 0.088 1
Fe5 Fe 0.750 0.630 0.776 1
Tc4 Tc 0.250 0.346 0.912 1
Si2 Si 0.750 0.273 0.745 1
Tc5 Tc 0.250 0.960 0.729 1
Si3 Si 0.750 0.763 0.587 1
Fe6 Fe 0.250 0.997 0.085 1
Si4 Si 0.250 0.727 0.255 1
Si5 Si 0.250 0.237 0.413 1
Si6 Si 0.750 0.273 0.077 1
Tc6 Tc 0.750 0.537 0.398 1
```

=====

two | Here is FeSiTc after structural relaxation from Alexandria. Energies are from GGA-PBE.

## Properties
N(E_F) ... 2.24 states/eV/f.u.
Total magnetic moment ... 0.0 μB per formula unit
Crystal system ... hexagonal

Cell and atoms, written as CIF:
```
data_FeSiTc
_cell_length_a 3.988
_cell_length_b 3.988
_cell_length_c 2.684
_cell_angle_alpha 90.00
_cell_angle_beta 90.00
_cell_angle_gamma 120.00
_symmetry_space_group_name_H-M 'P 1'
_symmetry_Int_Tables_number 1
_symmetry_space_group_name_Hall 'P 1'
loop_
_atom_site_label
_atom_site_type_symbol
_atom_site_fract_x
_atom_site_fract_y
_atom_site_fract_z
_atom_site_occupancy
Si1 Si 0.667 0.333 0.166 1
Fe1 Fe 0.000 0.000 0.167 1
Tc1 Tc 0.333 0.667 0.667 1
```

=====

The data favor one; the next most stable structure lies 4.6 kJ/mol of atoms above it.